Density functional theory data (PBE) for a relaxed structure of ZrGaB4.

abc: 4.820 4.820 4.820
angles: 142.37 115.05 77.56
Element x y z (fractional)
B  0.586  0.255  0.331
B  0.924  0.255  0.669
B  0.076  0.745  0.331
B  0.414  0.745  0.669
Zr  0.000  0.000  0.000
Ga  0.500  0.500  0.000

Summary:
- space-group type = Immm
- energy (eV/f.u.) = -39.8
- magnetization (μB per formula unit) = 0.000
- energy relative to the lowest polymorph listed for this composition (meV/atom) = 0